# 1
The following is a DFT calculation (PBE) of an optimized crystal structure of HgGeBi.

Cell lengths 10.280, 4.405, 9.666 Å; angles 90.00, 121.33, 90.00 degrees
Space group C2/m (No. 12)
Unique sites:
Hg 0.195 0.000 0.080 [4 per cell]
Ge 0.101 0.000 0.466 [4 per cell]
Bi 0.090 0.500 0.274 [4 per cell]

## Properties
DOS(E_F)	0.129	states/eV per atom
E_form	0.1299	eV/atom
energy above the lowest structure with this stoichiometry	6	meV per atom

# 2
The following is a DFT calculation (PBE) of an optimized crystal structure of Zn2CoMo.

Cell lengths 3.937, 3.937, 6.947 Å; angles 90.00, 90.00, 90.00 degrees
Space group I-4m2 (No. 119)
Unique sites:
Zn 0.000 0.000 0.000 [2 per cell]
Zn 0.000 0.500 0.250 [2 per cell]
Co 0.000 0.500 0.750 [2 per cell]
Mo 0.000 0.000 0.500 [2 per cell]

## Properties
DOS(E_F)	0.860	states/eV per atom
E_form	0.1454	eV/atom
energy above the lowest structure with this stoichiometry	148	meV per atom

# 3
The following is a DFT calculation (PBE) of an optimized crystal structure of La3InI.

Cell lengths 5.909, 5.909, 5.909 Å; angles 90.00, 90.00, 90.00 degrees
Space group Pm-3m (No. 221)
Unique sites:
La 0.000 0.000 0.500 [3 per cell]
In 0.500 0.500 0.500 [1 per cell]
I 0.000 0.000 0.000 [1 per cell]

## Properties
ΔE_f (raw)	-89	meV per atom
DOS(E_F)	1.373	states/eV per atom
energy above the lowest structure with this stoichiometry	273	meV per atom

What did the first record say?
The following is a DFT calculation (PBE) of an optimized crystal structure of HgGeBi.

Cell lengths 10.280, 4.405, 9.666 Å; angles 90.00, 121.33, 90.00 degrees
Space group C2/m (No. 12)
Unique sites:
Hg 0.195 0.000 0.080 [4 per cell]
Ge 0.101 0.000 0.466 [4 per cell]
Bi 0.090 0.500 0.274 [4 per cell]

## Properties
DOS(E_F)	0.129	states/eV per atom
E_form	0.1299	eV/atom
energy above the lowest structure with this stoichiometry	6	meV per atom

Repeat the first record exactly.
The following is a DFT calculation (PBE) of an optimized crystal structure of HgGeBi.

Cell lengths 10.280, 4.405, 9.666 Å; angles 90.00, 121.33, 90.00 degrees
Space group C2/m (No. 12)
Unique sites:
Hg 0.195 0.000 0.080 [4 per cell]
Ge 0.101 0.000 0.466 [4 per cell]
Bi 0.090 0.500 0.274 [4 per cell]

## Properties
DOS(E_F)	0.129	states/eV per atom
E_form	0.1299	eV/atom
energy above the lowest structure with this stoichiometry	6	meV per atom

The highest energy above the lowest structure with this stoichiometry belongs to which entry? La3InI